Compound: HoEr2Sc3CuSe2
Source: the Open Quantum Materials Database
Functional: GGA-PBE
Structure: optimized geometry

Summary:
Calculated volume: 21.93 A^3/atom
Final energy: -5.572 eV/atom
SG: Amm2, No. 38

Lattice parameters (Å, degrees): 3.8125 7.7319 7.7319 119.99 90.00 90.00
Fractional coordinates of all 9 atoms:
Ho 0.0000 0.0000 0.0000
Er 0.0000 0.1921 0.5957
Er 0.0000 0.5957 0.1921
Sc 0.5000 0.3497 0.3497
Sc 0.5000 0.5955 0.8412
Sc 0.5000 0.8412 0.5955
Cu 0.0000 0.5942 0.5942
Se 0.5000 0.2627 0.9287
Se 0.5000 0.9287 0.2627

Compound: PaGaAu
Source: the Open Quantum Materials Database
Functional: GGA-PBE
Structure: optimized geometry

Summary:
Calculated volume: 25.96 A^3/atom
Final energy: -5.123 eV/atom
SG: F-43m, No. 216

Lattice parameters (Å, degrees): 4.7933 4.7933 4.7933 60.00 60.00 60.00
Fractional coordinates of all 3 atoms:
Pa 0.0000 0.0000 0.0000
Ga 0.2500 0.2500 0.2500
Au 0.7500 0.7500 0.7500

Compound: Cs2LaNpS4
Source: the Open Quantum Materials Database
Functional: GGA-PBE
Structure: optimized geometry

Summary:
Calculated volume: 31.08 A^3/atom
Final energy: -6.125 eV/atom
SG: P-3m1, No. 164

Lattice parameters (Å, degrees): 4.2302 4.2302 16.0442 90.00 90.00 120.00
Fractional coordinates of all 8 atoms:
Cs 0.3333 0.6667 0.2540
Cs 0.6667 0.3333 0.7460
La 0.0000 0.0000 0.0000
Np 0.0000 0.0000 0.5000
S 0.3333 0.6667 0.5873
S 0.3333 0.6667 0.9034
S 0.6667 0.3333 0.0966
S 0.6667 0.3333 0.4127

Compound: PmTcB4
Source: the Open Quantum Materials Database
Functional: GGA-PBE
Structure: optimized geometry

Summary:
Calculated volume: 10.46 A^3/atom
Final energy: -7.239 eV/atom
Energy above the lowest structure with this stoichiometry: 0.000 eV per atom
SG: P6/mmm, No. 191

Lattice parameters (Å, degrees): 3.1696 3.1696 7.2128 90.00 90.00 120.00
Fractional coordinates of all 6 atoms:
Pm 0.0000 0.0000 0.0000
Tc 0.0000 0.0000 0.5000
B 0.3333 0.6667 0.2858
B 0.3333 0.6667 0.7142
B 0.6667 0.3333 0.2858
B 0.6667 0.3333 0.7142

Compound: SmY2In3Cu3
Source: the Open Quantum Materials Database
Functional: GGA-PBE
Structure: optimized geometry

Summary:
Calculated volume: 21.50 A^3/atom
Final energy: -4.533 eV/atom
SG: Amm2, No. 38

Lattice parameters (Å, degrees): 3.8968 7.5715 7.5715 119.96 90.00 90.00
Fractional coordinates of all 9 atoms:
Sm 0.0000 0.0000 0.0000
Y 0.0000 0.4102 0.8196
Y 0.0000 0.8196 0.4102
In 0.5000 0.1560 0.4131
In 0.5000 0.4131 0.1560
In 0.5000 0.6643 0.6643
Cu 0.0000 0.4113 0.4113
Cu 0.5000 0.0787 0.7425
Cu 0.5000 0.7425 0.0787

Compound: PrIrPt
Source: the Open Quantum Materials Database
Functional: GGA-PBE
Structure: optimized geometry

Summary:
Calculated volume: 23.45 A^3/atom
Final energy: -6.710 eV/atom
Energy above the lowest structure with this stoichiometry: 0.000 eV per atom
SG: F-43m, No. 216

Lattice parameters (Å, degrees): 4.6335 4.6335 4.6335 60.00 60.00 60.00
Fractional coordinates of all 3 atoms:
Pr 0.0000 0.0000 0.0000
Ir 0.2500 0.2500 0.2500
Pt 0.5000 0.5000 0.5000

Compound: Fe3Mo4W2N3
Source: the Open Quantum Materials Database
Functional: GGA-PBE
Structure: optimized geometry

Summary:
Calculated volume: 11.96 A^3/atom
Final energy: -9.949 eV/atom
SG: C2/c, No. 15

Lattice parameters (Å, degrees): 4.9303 4.9303 13.7195 99.24 99.24 61.14
Fractional coordinates of all 24 atoms:
Fe 0.0666 0.3893 0.7520
Fe 0.1725 0.8275 0.7500
Fe 0.3893 0.0666 0.2520
Fe 0.6107 0.9334 0.7480
Fe 0.8275 0.1725 0.2500
Fe 0.9334 0.6107 0.2480
Mo 0.0170 0.2112 0.0916
Mo 0.1144 0.3077 0.4079
Mo 0.2112 0.0170 0.5916
Mo 0.3077 0.1144 0.9079
Mo 0.6923 0.8856 0.0921
Mo 0.7888 0.9830 0.4084
Mo 0.8856 0.6923 0.5921
Mo 0.9830 0.7888 0.9084
W 0.3626 0.5818 0.1526
W 0.4182 0.6374 0.3474
W 0.5818 0.3626 0.6526
W 0.6374 0.4182 0.8474
N 0.0000 0.5000 0.0000
N 0.1891 0.6631 0.4822
N 0.3369 0.8109 0.0178
N 0.5000 0.0000 0.5000
N 0.6631 0.1891 0.9822
N 0.8109 0.3369 0.5178

Compound: Er5ZnPb3
Source: the Open Quantum Materials Database
Functional: GGA-PBE
Structure: optimized geometry

Summary:
Calculated volume: 26.68 A^3/atom
Final energy: -4.399 eV/atom
SG: P6_3/mcm, No. 193

Lattice parameters (Å, degrees): 9.1896 9.1896 6.5657 90.00 90.00 120.00
Fractional coordinates of all 18 atoms:
Er 0.0000 0.2635 0.2500
Er 0.0000 0.7365 0.7500
Er 0.2635 0.0000 0.2500
Er 0.2635 0.2635 0.7500
Er 0.3333 0.6667 0.0000
Er 0.3333 0.6667 0.5000
Er 0.6667 0.3333 0.0000
Er 0.6667 0.3333 0.5000
Er 0.7365 0.0000 0.7500
Er 0.7365 0.7365 0.2500
Zn 0.0000 0.0000 0.0000
Zn 0.0000 0.0000 0.5000
Pb 0.0000 0.3837 0.7500
Pb 0.0000 0.6163 0.2500
Pb 0.3837 0.0000 0.7500
Pb 0.3837 0.3837 0.2500
Pb 0.6163 0.0000 0.2500
Pb 0.6163 0.6163 0.7500